An optimized crystal structure of TlSn3Cl8, computed with PBE.

Cell and atoms, written as CIF:
```
data_TlSn3Cl8
_chemical_formula_sum 'Tl1 Sn3 Cl8'
_symmetry_space_group_name_H-M 'P 1'
_symmetry_Int_Tables_number 1
_cell_length_a 5.380
_cell_length_b 9.339
_cell_length_c 10.394
_cell_angle_alpha 67.95
_cell_angle_beta 89.90
_cell_angle_gamma 73.27
loop_
_symmetry_equiv_pos_as_xyz
'x,y,z'
loop_
_atom_site_label
_atom_site_type_symbol
_atom_site_fract_x
_atom_site_fract_y
_atom_site_fract_z
Tl1 Tl 0.000 0.000 0.000
Sn1 Sn 0.629 0.739 0.428
Sn2 Sn 0.709 0.582 0.985
Sn3 Sn 0.929 0.140 0.440
Cl1 Cl 0.091 0.816 0.418
Cl2 Cl 0.192 0.617 0.012
Cl3 Cl 0.446 0.105 0.415
Cl4 Cl 0.567 0.865 0.154
Cl5 Cl 0.715 0.571 0.749
Cl6 Cl 0.777 0.443 0.417
Cl7 Cl 0.862 0.277 0.115
Cl8 Cl 0.991 0.014 0.699
```

Computed properties:
The final energy comes out at -3.37 eV per atom. The value obtained for the raw formation energy is -0.94 eV/atom. The mass density comes out at 3.0 Mg/m³. The volume is 460.18 Å³ per cell.